Density functional theory data (GGA-PBE) for a geometry-optimized FeSi4Tc2 structure.

The structure in extended XYZ format:
```
7
Lattice="4.1833 0.0000 0.0000 0.0000 4.1833 0.0000 2.0917 2.0917 6.1373" Properties=species:S:1:pos:R:3 pbc="T T T"
Si 2.0917 0.0000 0.0000
Si 2.0917 2.0917 3.8112
Tc 4.1833 4.1833 4.7136
Si 4.1833 4.1833 2.3261
Fe 0.0000 0.0000 0.0000
Tc 2.0917 2.0917 1.4237
Si 0.0000 2.0917 0.0000
```

magnetization: 0.00 μB/f.u.
V: 107.4 Å³/cell
formation energy from raw total energies: 40.48 kJ/mol of atoms
ρ: 5.63 g/cm3

Density functional theory data (GGA-PBE) for a geometry-optimized FeSi2Tc structure.

The structure in extended XYZ format:
```
4
Lattice="-0.2961 2.6279 -1.1437 -1.3075 0.8993 2.4049 5.0882 1.5284 2.1947" Properties=species:S:1:pos:R:3 pbc="T T T"
Si 5.0137 1.5061 2.1626
Si 2.6185 0.7866 1.1294
Fe 3.0144 2.9099 2.2766
Tc 0.4703 2.1457 1.1793
```

magnetization: 0.00 μB/f.u.
V: 47.7 Å³/cell
formation energy from raw total energies: -38.82 kJ/mol of atoms
ρ: 7.31 g/cm3

Q: Which value of formation energy from raw total energies does entry 2 give?
A: -38.82 kJ/mol of atoms

Q: formation energy from raw total energies of number 1 (FeSi4Tc2)?
A: 40.48 kJ/mol of atoms